# LiLuAlCr PBE-GGA relaxed
data_LiLuAlCr
_symmetry_space_group_name_H-M 'F -4 3 m'
_symmetry_Int_Tables_number 216
_symmetry_space_group_name_Hall 'F -4 2 3'
_cell_length_a 6.656
_cell_length_b 6.656
_cell_length_c 6.656
_cell_angle_alpha 90.00
_cell_angle_beta 90.00
_cell_angle_gamma 90.00
loop_
_atom_site_label
_atom_site_fract_x
_atom_site_fract_y
_atom_site_fract_z
_atom_site_occupancy
Li1 0.000 0.000 0.000 1
Lu1 0.250 0.250 0.250 1
Al1 0.250 0.250 0.750 1
Cr1 0.000 0.000 0.500 1
# Total DFT energy (no corrections): -4.94 eV/atom
# D(E_F): 1.9 states/eV/f.u.
# Calculated volume: 18.4 Å³ per atom

---

# GeTePd2 PBE-GGA relaxed
data_GeTePd2
_symmetry_space_group_name_H-M 'F m -3 m'
_symmetry_Int_Tables_number 225
_symmetry_space_group_name_Hall '-F 4 2 3'
_cell_length_a 6.653
_cell_length_b 6.653
_cell_length_c 6.653
_cell_angle_alpha 90.00
_cell_angle_beta 90.00
_cell_angle_gamma 90.00
loop_
_atom_site_label
_atom_site_fract_x
_atom_site_fract_y
_atom_site_fract_z
_atom_site_occupancy
Ge1 0.000 0.000 0.000 1
Te1 0.000 0.000 0.500 1
Pd1 0.250 0.250 0.250 1
# Total DFT energy (no corrections): -4.73 eV/atom
# D(E_F): 1.7 states/eV/f.u.
# Calculated volume: 18.4 Å³ per atom

---

# Pa2Cu3Ni2 PBE-GGA relaxed
data_Pa2Cu3Ni2
_symmetry_space_group_name_H-M 'C 1 2/m 1'
_symmetry_Int_Tables_number 12
_cell_length_a 9.511
_cell_length_b 3.579
_cell_length_c 6.736
_cell_angle_alpha 90.00
_cell_angle_beta 97.40
_cell_angle_gamma 90.00
loop_
_symmetry_equiv_pos_as_xyz
'x,y,z'
'-x,-y,-z'
'-x,y,-z'
'x,-y,z'
'x+1/2,y+1/2,z'
'-x+1/2,-y+1/2,-z'
'-x+1/2,y+1/2,-z'
'x+1/2,-y+1/2,z'
loop_
_atom_site_label
_atom_site_fract_x
_atom_site_fract_y
_atom_site_fract_z
_atom_site_occupancy
Pa1 0.130 0.000 0.330 1
Cu1 0.000 0.500 0.000 1
Cu2 0.184 0.000 0.890 1
Ni1 0.086 0.500 0.654 1
# Total DFT energy (no corrections): -6.25 eV/atom
# D(E_F): 6.1 states/eV/f.u.
# Calculated volume: 16.2 Å³ per atom

---

# InAuI2O PBE-GGA relaxed
data_InAuI2O
_symmetry_space_group_name_H-M 'P 4/m m m'
_symmetry_Int_Tables_number 123
_symmetry_space_group_name_Hall '-P 4 2'
_cell_length_a 5.893
_cell_length_b 5.893
_cell_length_c 4.027
_cell_angle_alpha 90.00
_cell_angle_beta 90.00
_cell_angle_gamma 90.00
loop_
_atom_site_label
_atom_site_fract_x
_atom_site_fract_y
_atom_site_fract_z
_atom_site_occupancy
In1 0.000 0.000 0.000 1
Au1 0.500 0.500 0.500 1
I1 0.000 0.500 0.500 1
O1 0.500 0.500 0.000 1
# Total DFT energy (no corrections): -2.80 eV/atom
# D(E_F): 6.2 states/eV/f.u.
# Calculated volume: 28.0 Å³ per atom

---

# Sm2GaNiH PBE-GGA relaxed
data_Sm2GaNiH
_symmetry_space_group_name_H-M 'P 1 21/m 1'
_symmetry_Int_Tables_number 11
_cell_length_a 6.086
_cell_length_b 4.189
_cell_length_c 7.880
_cell_angle_alpha 90.00
_cell_angle_beta 105.19
_cell_angle_gamma 90.00
loop_
_symmetry_equiv_pos_as_xyz
'x,y,z'
'-x,-y,-z'
'-x,y+1/2,-z'
'x,-y+1/2,z'
loop_
_atom_site_label
_atom_site_fract_x
_atom_site_fract_y
_atom_site_fract_z
_atom_site_occupancy
Sm1 0.229 0.250 0.412 1
Sm2 0.241 0.250 0.967 1
Ga1 0.319 0.750 0.706 1
Ni1 0.439 0.750 0.234 1
H1 0.165 0.750 0.163 1
# Total DFT energy (no corrections): -4.81 eV/atom
# D(E_F): 2.6 states/eV/f.u.
# Calculated volume: 19.4 Å³ per atom

---

# LiTmNi5 PBE-GGA relaxed
data_LiTmNi5
_symmetry_space_group_name_H-M 'P n m a'
_symmetry_Int_Tables_number 62
_cell_length_a 7.853
_cell_length_b 4.797
_cell_length_c 9.929
_cell_angle_alpha 90.00
_cell_angle_beta 90.00
_cell_angle_gamma 90.00
loop_
_symmetry_equiv_pos_as_xyz
'x,y,z'
'-x,-y,-z'
'-x+1/2,-y,z+1/2'
'x+1/2,y,-z+1/2'
'x+1/2,-y+1/2,-z+1/2'
'-x+1/2,y+1/2,z+1/2'
'-x,y+1/2,-z'
'x,-y+1/2,z'
loop_
_atom_site_label
_atom_site_fract_x
_atom_site_fract_y
_atom_site_fract_z
_atom_site_occupancy
Li1 0.133 0.250 0.145 1
Tm1 0.245 0.750 0.941 1
Ni1 0.060 0.250 0.900 1
Ni2 0.072 0.503 0.688 1
Ni3 0.095 0.750 0.482 1
Ni4 0.182 0.750 0.250 1
# Total DFT energy (no corrections): -5.27 eV/atom
# D(E_F): 8.4 states/eV/f.u.
# Calculated volume: 13.4 Å³ per atom

---

# CsH2Pb PBE-GGA relaxed
data_CsH2Pb
_symmetry_space_group_name_H-M 'F m -3 m'
_symmetry_Int_Tables_number 225
_symmetry_space_group_name_Hall '-F 4 2 3'
_cell_length_a 7.053
_cell_length_b 7.053
_cell_length_c 7.053
_cell_angle_alpha 90.00
_cell_angle_beta 90.00
_cell_angle_gamma 90.00
loop_
_atom_site_label
_atom_site_fract_x
_atom_site_fract_y
_atom_site_fract_z
_atom_site_occupancy
Cs1 0.000 0.000 0.000 1
H1 0.250 0.250 0.250 1
Pb1 0.000 0.000 0.500 1
# Total DFT energy (no corrections): -2.28 eV/atom
# D(E_F): 2.5 states/eV/f.u.
# Calculated volume: 21.9 Å³ per atom

---

# BaNaCl2 PBE-GGA relaxed
data_BaNaCl2
_symmetry_space_group_name_H-M 'R -3 m'
_symmetry_Int_Tables_number 166
_symmetry_space_group_name_Hall '-R 3 2"'
_cell_length_a 4.9023
_cell_length_b 4.9023
_cell_length_c 25.5694
_cell_angle_alpha 90.00
_cell_angle_beta 90.00
_cell_angle_gamma 120.00
loop_
_atom_site_label
_atom_site_fract_x
_atom_site_fract_y
_atom_site_fract_z
_atom_site_occupancy
Ba1 0.0000 0.0000 0.0000 1
Na1 0.0000 0.0000 0.5000 1
Cl1 0.0000 0.0000 0.3851 1
# Total DFT energy (no corrections): -3.47 eV/atom
# D(E_F): 1.2 states/eV/f.u.
# Calculated volume: 44.3 Å³ per atom

---

# Sm6Cd5Rh PBE-GGA relaxed
data_Sm6Cd5Rh
_symmetry_space_group_name_H-M 'I m m m'
_symmetry_Int_Tables_number 71
_symmetry_space_group_name_Hall '-I 2 2'
_cell_length_a 5.288
_cell_length_b 7.617
_cell_length_c 15.796
_cell_angle_alpha 90.00
_cell_angle_beta 90.00
_cell_angle_gamma 90.00
loop_
_atom_site_label
_atom_site_fract_x
_atom_site_fract_y
_atom_site_fract_z
_atom_site_occupancy
Sm1 0.000 0.227 0.000 1
Sm2 0.000 0.267 0.345 1
Cd1 0.000 0.000 0.186 1
Cd2 0.000 0.000 0.500 1
Cd3 0.000 0.500 0.168 1
Rh1 0.000 0.500 0.500 1
# Total DFT energy (no corrections): -3.75 eV/atom
# D(E_F): 9.9 states/eV/f.u.
# Calculated volume: 26.5 Å³ per atom

---

# Ca2AcTm PBE-GGA relaxed
data_Ca2AcTm
_symmetry_space_group_name_H-M 'P 4/m m m'
_symmetry_Int_Tables_number 123
_symmetry_space_group_name_Hall '-P 4 2'
_cell_length_a 5.212
_cell_length_b 5.212
_cell_length_c 5.736
_cell_angle_alpha 90.00
_cell_angle_beta 90.00
_cell_angle_gamma 90.00
loop_
_atom_site_label
_atom_site_fract_x
_atom_site_fract_y
_atom_site_fract_z
_atom_site_occupancy
Ca1 0.000 0.500 0.000 1
Ac1 0.000 0.000 0.500 1
Tm1 0.500 0.500 0.500 1
# Total DFT energy (no corrections): -2.99 eV/atom
# D(E_F): 7.9 states/eV/f.u.
# Calculated volume: 39.0 Å³ per atom

---

# BaLiMgCd2 PBE-GGA relaxed
data_BaLiMgCd2
_symmetry_space_group_name_H-M 'I -4 m 2'
_symmetry_Int_Tables_number 119
_symmetry_space_group_name_Hall 'I -4 -2'
_cell_length_a 4.767
_cell_length_b 4.767
_cell_length_c 12.965
_cell_angle_alpha 90.00
_cell_angle_beta 90.00
_cell_angle_gamma 90.00
loop_
_atom_site_label
_atom_site_fract_x
_atom_site_fract_y
_atom_site_fract_z
_atom_site_occupancy
Ba1 0.000 0.000 0.000 1
Li1 0.000 0.500 0.250 1
Mg1 0.000 0.500 0.750 1
Cd1 0.000 0.000 0.383 1
# Total DFT energy (no corrections): -1.66 eV/atom
# D(E_F): 3.6 states/eV/f.u.
# Calculated volume: 29.5 Å³ per atom

---

# Ca8CdGa2 PBE-GGA relaxed
data_Ca8CdGa2
_symmetry_space_group_name_H-M 'I m m m'
_symmetry_Int_Tables_number 71
_symmetry_space_group_name_Hall '-I 2 2'
_cell_length_a 5.198
_cell_length_b 8.823
_cell_length_c 15.181
_cell_angle_alpha 90.00
_cell_angle_beta 90.00
_cell_angle_gamma 90.00
loop_
_atom_site_label
_atom_site_fract_x
_atom_site_fract_y
_atom_site_fract_z
_atom_site_occupancy
Ca1 0.000 0.000 0.140 1
Ca2 0.000 0.210 0.338 1
Ca3 0.000 0.319 0.000 1
Cd1 0.000 0.500 0.500 1
Ga1 0.000 0.500 0.193 1
# Total DFT energy (no corrections): -2.29 eV/atom
# D(E_F): 6.8 states/eV/f.u.
# Calculated volume: 31.6 Å³ per atom

---

- Look up the calculated volume of the eleventh one.
  29.5 Å³ per atom

---

- D(E_F) of number 5 (Sm2GaNiH)?
  2.6 states/eV/f.u.

---

What did the ninth record say?
# Sm6Cd5Rh PBE-GGA relaxed
data_Sm6Cd5Rh
_symmetry_space_group_name_H-M 'I m m m'
_symmetry_Int_Tables_number 71
_symmetry_space_group_name_Hall '-I 2 2'
_cell_length_a 5.288
_cell_length_b 7.617
_cell_length_c 15.796
_cell_angle_alpha 90.00
_cell_angle_beta 90.00
_cell_angle_gamma 90.00
loop_
_atom_site_label
_atom_site_fract_x
_atom_site_fract_y
_atom_site_fract_z
_atom_site_occupancy
Sm1 0.000 0.227 0.000 1
Sm2 0.000 0.267 0.345 1
Cd1 0.000 0.000 0.186 1
Cd2 0.000 0.000 0.500 1
Cd3 0.000 0.500 0.168 1
Rh1 0.000 0.500 0.500 1
# Total DFT energy (no corrections): -3.75 eV/atom
# D(E_F): 9.9 states/eV/f.u.
# Calculated volume: 26.5 Å³ per atom